No. 1
A plane-wave DFT calculation with PBE was carried out for crystalline InCo2Ru at its relaxed geometry.

Cell lengths 4.083, 2.766, 5.137 Å; angles 74.33, 90.00, 90.00 degrees
Each line ends with the local moment (μB).
Positions (direct):
Co  0.000  0.190  0.995  1.41
Co  0.500  0.069  0.237  0.94
In  0.000  0.451  0.473  -0.04
Ru  0.500  0.790  0.796  0.25

Results
The calculation puts the calculated volume at 56 Å³ per cell. The value obtained for the energy relative to the elements is 1.05 eV/f.u. The total DFT energy (no corrections) is -6.294 eV/atom.

No. 2
A plane-wave DFT calculation with PBE was carried out for crystalline SiHgAs2 at its relaxed geometry.

Cell lengths 2.922, 2.922, 10.308 Å; angles 90.00, 90.00, 109.60 degrees
Positions (direct):
As  0.000  0.000  0.950
As  0.000  0.000  0.550
Hg  0.500  0.500  0.250
Si  0.500  0.500  0.750

Results
The calculation puts the calculated volume at 83 Å³ per cell. For the uncorrected formation energy, the calculation gives 36.0 kJ per mole of atoms. The total DFT energy (no corrections) is -3.382 eV/atom.

No. 3
A plane-wave DFT calculation with PBE was carried out for crystalline Mg7Zn3 at its relaxed geometry.

Cell lengths 4.568, 5.984, 8.536 Å; angles 116.20, 105.52, 90.00 degrees
Positions (direct):
Mg  0.000  0.500  0.000
Mg  0.205  0.255  0.409
Mg  0.795  0.745  0.591
Mg  0.378  0.134  0.755
Mg  0.622  0.866  0.245
Mg  0.411  0.675  0.822
Mg  0.589  0.325  0.178
Zn  0.000  0.000  0.000
Zn  0.192  0.718  0.383
Zn  0.808  0.282  0.617

Results
The calculation puts the calculated volume at 200 Å³ per cell. As for the offset from the most stable computed form: 0 kJ/mol of formula units. The value obtained for the energy relative to the elements is -0.45 eV/f.u. The total DFT energy (no corrections) is -1.544 eV/atom.

No. 4
A plane-wave DFT calculation with PBE was carried out for crystalline ZnCrP2 at its relaxed geometry.

Cell lengths 4.257, 3.219, 4.404 Å; angles 68.92, 90.00, 90.00 degrees
Positions (direct):
Cr  0.500  0.929  0.767
P  0.000  0.817  0.993
P  0.500  0.220  0.190
Zn  0.000  0.534  0.551

Results
The calculation puts the calculated volume at 56 Å³ per cell. The value obtained for the energy relative to the elements is 0.18 eV/f.u. The total DFT energy (no corrections) is -5.385 eV/atom.

No. 5
A plane-wave DFT calculation with PBE was carried out for crystalline AcHo4Ir4 at its relaxed geometry.

Cell lengths 5.610, 9.113, 9.113 Å; angles 90.00, 90.00, 90.00 degrees
Positions (direct):
Ac  0.000  0.000  0.000
Ac  0.500  0.500  0.500
Ho  0.401  0.342  0.898
Ho  0.901  0.602  0.842
Ho  0.401  0.658  0.102
Ho  0.099  0.158  0.602
Ho  0.599  0.898  0.658
Ho  0.099  0.842  0.398
Ho  0.901  0.398  0.158
Ho  0.599  0.102  0.342
Ir  0.597  0.796  0.359
Ir  0.597  0.204  0.641
Ir  0.097  0.859  0.704
Ir  0.903  0.296  0.859
Ir  0.903  0.704  0.141
Ir  0.403  0.359  0.204
Ir  0.403  0.641  0.796
Ir  0.097  0.141  0.296

Results
The calculation puts the calculated volume at 466 Å³ per cell. The value obtained for the energy relative to the elements is -6.00 eV/f.u. The total DFT energy (no corrections) is -7.096 eV/atom.

No. 6
A plane-wave DFT calculation with PBE was carried out for crystalline Li2InNiH at its relaxed geometry.

Cell lengths 4.096, 4.096, 3.563 Å; angles 90.00, 90.00, 90.00 degrees
Positions (direct):
Ni  0.000  0.000  0.500
Li  0.000  0.500  0.000
Li  0.500  0.000  0.000
H  0.000  0.000  0.000
In  0.500  0.500  0.500

Results
The calculation puts the calculated volume at 60 Å³ per cell. The total DFT energy (no corrections) is -3.352 eV/atom.

No. 7
A plane-wave DFT calculation with PBE was carried out for crystalline KLiF3 at its relaxed geometry.

Cell lengths 5.926, 5.980, 4.314 Å; angles 84.02, 98.92, 74.36 degrees
Positions (direct):
K  0.438  0.308  0.231
K  0.053  0.789  0.487
F  0.245  0.049  0.858
F  0.067  0.256  0.515
F  0.745  0.048  0.857
F  0.531  0.547  0.696
F  0.959  0.550  0.022
F  0.424  0.842  0.202
Li  0.644  0.775  0.899
Li  0.847  0.322  0.819

Results
The calculation puts the calculated volume at 144 Å³ per cell. As for the offset from the most stable computed form: 15 kJ/mol of formula units. For the uncorrected formation energy, the calculation gives -219.2 kJ per mole of atoms. The total DFT energy (no corrections) is -3.997 eV/atom.

No. 8
A plane-wave DFT calculation with PBE was carried out for crystalline TaMnFe at its relaxed geometry.

Cell lengths 6.326, 6.157, 2.689 Å; angles 81.11, 74.06, 24.83 degrees
Each line ends with the local moment (μB).
Positions (direct):
Fe  0.992  0.992  0.008  1.92
Mn  0.341  0.341  0.659  1.52
Ta  0.667  0.667  0.333  -0.23

Results
The calculation puts the calculated volume at 41 Å³ per cell. As for the offset from the most stable computed form: 101 kJ/mol of formula units. The value obtained for the energy relative to the elements is 0.46 eV/f.u. The total DFT energy (no corrections) is -9.676 eV/atom.

What is the total DFT energy (no corrections) in the eighth record?
-9.676 eV/atom

Repeat the sixth record exactly.
A plane-wave DFT calculation with PBE was carried out for crystalline Li2InNiH at its relaxed geometry.

Cell lengths 4.096, 4.096, 3.563 Å; angles 90.00, 90.00, 90.00 degrees
Positions (direct):
Ni  0.000  0.000  0.500
Li  0.000  0.500  0.000
Li  0.500  0.000  0.000
H  0.000  0.000  0.000
In  0.500  0.500  0.500

Results
The calculation puts the calculated volume at 60 Å³ per cell. The total DFT energy (no corrections) is -3.352 eV/atom.